# LiCr2TcHg

LiCr2TcHg after structural relaxation (PBE, Alexandria via LeMat-Bulk).

## Properties
**Crystal system**: tetragonal
**E**: -5.37 eV/atom
**E_form**: 1.00 eV per atom
**Total moment**: 5.0 μB/cell
**Symmetry**: No. 123
**V**: 100.3 Å³/f.u.
**DOS at the Fermi energy**: 4.12 states/eV/f.u.

a = 4.547 Å, b = 4.853 Å, c = 4.547 Å
α = 90.00°, β = 90.00°, γ = 90.00°
Site moments in Bohr magnetons follow the coordinates.
Fractional positions:
Hg (0.500, 0.500, 0.500)  -0.03
Tc (0.000, 0.000, 0.000)  -0.79
Li (0.000, 0.500, 0.000)  -0.03
Cr (0.500, 0.000, 0.000)  3.02
Cr (0.000, 0.000, 0.500)  2.42


# LiNp2Au6

LiNp2Au6 after structural relaxation (PBE, Alexandria via LeMat-Bulk).

## Properties
**Crystal system**: hexagonal
**E**: -5.54 eV/atom
**E_form**: -0.26 eV per atom
**Total moment**: 9.1 μB/cell
**Symmetry**: No. 191
**V**: 182.1 Å³/f.u.
**DOS at the Fermi energy**: 13.97 states/eV/f.u.

a = 2.935 Å, b = 8.462 Å, c = 8.462 Å
α = 60.01°, β = 89.94°, γ = 89.94°
Site moments in Bohr magnetons follow the coordinates.
Fractional positions:
Au (0.501, 0.000, 0.328)  0.02
Au (0.499, 0.000, 0.672)  0.02
Au (0.500, 0.672, 0.328)  0.02
Au (0.499, 0.672, 0.000)  0.02
Au (0.500, 0.328, 0.672)  0.02
Au (0.501, 0.328, 0.000)  0.02
Np (0.000, 0.333, 0.333)  4.18
Np (0.000, 0.667, 0.667)  4.18
Li (0.000, 0.000, 0.000)  0.00


# SrPr2Cu

SrPr2Cu after structural relaxation (PBE, Alexandria via LeMat-Bulk).

## Properties
**Crystal system**: tetragonal
**E**: -3.80 eV/atom
**Distance to the lowest polymorph of the same formula**: 0.000 eV per atom
**E_form**: 0.04 eV per atom
**Total moment**: 0.0 μB/cell
**Symmetry**: No. 123
**V**: 135.9 Å³/f.u.
**DOS at the Fermi energy**: 6.65 states/eV/f.u.

a = 3.753 Å, b = 3.753 Å, c = 9.646 Å
α = 90.00°, β = 90.00°, γ = 90.00°
Fractional positions:
Cu (0.500, 0.500, 0.000)
Pr (0.000, 0.000, 0.832)
Pr (0.000, 0.000, 0.168)
Sr (0.500, 0.500, 0.500)


# CoSnSbTe2

CoSnSbTe2 after structural relaxation (PBE, Alexandria via LeMat-Bulk).

## Properties
**E_form (uncorrected)**: 0.255 eV/atom
**Crystal system**: tetragonal
**E**: -4.05 eV/atom
**Distance to the lowest polymorph of the same formula**: 0.000 eV per atom
**Total moment**: 0.0 μB/cell
**Symmetry**: No. 123
**V**: 133.2 Å³/f.u.
**DOS at the Fermi energy**: 5.40 states/eV/f.u.

a = 5.326 Å, b = 5.326 Å, c = 4.696 Å
α = 90.00°, β = 90.00°, γ = 90.00°
Fractional positions:
Te (0.500, 0.000, 0.000)
Te (0.000, 0.500, 0.000)
Sn (0.500, 0.500, 0.500)
Co (0.000, 0.000, 0.000)
Sb (0.000, 0.000, 0.500)


# Np2TcH

Np2TcH after structural relaxation (PBE, Alexandria via LeMat-Bulk).

## Properties
**Crystal system**: trigonal
**E**: -9.44 eV/atom
**Distance to the lowest polymorph of the same formula**: 0.271 eV per atom
**Total moment**: 5.9 μB/cell
**Symmetry**: No. 166
**V**: 66.4 Å³/f.u.
**DOS at the Fermi energy**: 6.63 states/eV/f.u.

a = 2.951 Å, b = 2.951 Å, c = 8.966 Å
α = 80.53°, β = 80.53°, γ = 60.00°
Site moments in Bohr magnetons follow the coordinates.
Fractional positions:
Tc (0.500, 0.500, 0.500)  -0.34
Np (0.921, 0.921, 0.237)  3.02
Np (0.079, 0.079, 0.763)  3.02
H (0.000, 0.000, 0.000)  -0.02


# CaTa2VP

CaTa2VP after structural relaxation (PBE, Alexandria via LeMat-Bulk).

## Properties
**Crystal system**: tetragonal
**E**: -7.70 eV/atom
**E_form**: 0.35 eV per atom
**Total moment**: 0.0 μB/cell
**Symmetry**: No. 123
**V**: 101.0 Å³/f.u.
**DOS at the Fermi energy**: 9.15 states/eV/f.u.

a = 4.762 Å, b = 4.762 Å, c = 4.454 Å
α = 90.00°, β = 90.00°, γ = 90.00°
Fractional positions:
P (0.000, 0.000, 0.000)
Ta (0.000, 0.500, 0.000)
Ta (0.500, 0.000, 0.000)
V (0.000, 0.000, 0.500)
Ca (0.500, 0.500, 0.500)


# Zr3NbAg

Zr3NbAg after structural relaxation (PBE, Alexandria via LeMat-Bulk).

## Properties
**Crystal system**: cubic
**E**: -6.48 eV/atom
**Distance to the lowest polymorph of the same formula**: 0.304 eV per atom
**E_form**: 1.23 eV per atom
**Total moment**: 2.3 μB/cell
**Symmetry**: No. 221
**V**: 131.7 Å³/f.u.
**DOS at the Fermi energy**: 6.65 states/eV/f.u.

a = 5.087 Å, b = 5.087 Å, c = 5.087 Å
α = 90.00°, β = 90.00°, γ = 90.00°
Site moments in Bohr magnetons follow the coordinates.
Fractional positions:
Zr (0.000, 0.000, 0.500)  0.16
Zr (0.500, 0.000, 0.000)  -0.03
Zr (0.000, 0.500, 0.000)  0.11
Nb (0.500, 0.500, 0.500)  1.36
Ag (0.000, 0.000, 0.000)  0.04


# Be2SnRu2

Be2SnRu2 after structural relaxation (PBE, Alexandria via LeMat-Bulk).

## Properties
**Crystal system**: tetragonal
**E**: -6.25 eV/atom
**Distance to the lowest polymorph of the same formula**: 0.000 eV per atom
**E_form**: -0.24 eV per atom
**Total moment**: 0.0 μB/cell
**Symmetry**: No. 127
**V**: 62.6 Å³/f.u.
**DOS at the Fermi energy**: 1.55 states/eV/f.u.

a = 6.427 Å, b = 6.427 Å, c = 3.032 Å
α = 90.00°, β = 90.00°, γ = 90.00°
Fractional positions:
Sn (0.000, 0.000, 0.000)
Sn (0.500, 0.500, 0.000)
Ru (0.332, 0.168, 0.500)
Ru (0.168, 0.668, 0.500)
Ru (0.668, 0.832, 0.500)
Ru (0.832, 0.332, 0.500)
Be (0.883, 0.617, 0.000)
Be (0.617, 0.117, 0.000)
Be (0.117, 0.383, 0.000)
Be (0.383, 0.883, 0.000)